# 1
Dy3Ho6Zr: optimized geometry, PBE.

Cell lengths 10.825, 10.825, 6.086 Å; angles 90.00, 90.00, 119.76 degrees
Fractional coordinates of all 20 atoms:
Dy1 0.114 0.886 0.500
Dy2 0.218 0.444 0.877
Dy3 0.444 0.218 0.377
Dy4 0.556 0.782 0.877
Dy5 0.782 0.556 0.377
Dy6 0.886 0.114 0.000
Ho1 0.040 0.456 0.312
Ho2 0.119 0.206 0.470
Ho3 0.206 0.119 0.970
Ho4 0.226 0.774 0.082
Ho5 0.449 0.551 0.355
Ho6 0.456 0.040 0.812
Ho7 0.544 0.960 0.312
Ho8 0.551 0.449 0.855
Ho9 0.774 0.226 0.582
Ho10 0.794 0.881 0.470
Ho11 0.881 0.794 0.970
Ho12 0.960 0.544 0.812
Zr1 0.291 0.709 0.584
Zr2 0.709 0.291 0.084

Calculated values
volume	619.2	Å³ per cell
size of the total moment	0.001	μB per formula unit
crystal system	orthorhombic
ΔE_f	152.6	meV per atom
distance to the lowest polymorph of the same formula	0.000	eV/atom

---

# 2
CePdRu: optimized geometry, PBE.

Cell lengths 3.504, 3.504, 9.200 Å; angles 90.00, 90.00, 90.00 degrees
Fractional coordinates of all 6 atoms:
Ce1 0.000 0.000 0.000
Ce2 0.500 0.500 0.500
Pd1 0.000 0.000 0.687
Pd2 0.500 0.500 0.187
Ru1 0.000 0.000 0.370
Ru2 0.500 0.500 0.870

Calculated values
volume	113.0	Å³ per cell
size of the total moment	0.000	μB per formula unit
crystal system	tetragonal
ΔE_f	-261.6	meV per atom
distance to the lowest polymorph of the same formula	0.186	eV/atom

---

# 3
Pm2Pr3SmY6: optimized geometry, PBE.

Cell lengths 6.295, 6.295, 11.901 Å; angles 95.04, 95.04, 119.99 degrees
Fractional coordinates of all 12 atoms:
Pm1 0.167 0.833 0.000
Pm2 0.833 0.167 0.000
Pr1 0.000 0.000 0.500
Pr2 0.333 0.667 0.500
Pr3 0.667 0.333 0.500
Sm1 0.500 0.500 0.000
Y1 0.084 0.417 0.752
Y2 0.249 0.249 0.248
Y3 0.417 0.084 0.752
Y4 0.583 0.916 0.248
Y5 0.751 0.751 0.752
Y6 0.916 0.583 0.248

Calculated values
volume	402.1	Å³ per cell
size of the total moment	0.000	μB per formula unit
crystal system	monoclinic
ΔE_f	9.4	meV per atom

---

Q: Which of these has the highest volume?
A: Dy3Ho6Zr